The following is a DFT calculation (PBE with a Hubbard U) of a geometry-optimized Tl2CrCl2F2 structure.

abc: 8.972 8.972 8.972
angles: 152.06 152.06 39.92
Element x y z (fractional)
Tl: 0.138 0.138 0.000
Tl: 0.862 0.862 0.000
Cr: 0.500 0.500 0.000
Cl: 0.337 0.337 0.000
Cl: 0.663 0.663 0.000
F: 0.000 0.500 0.500
F: 0.500 0.000 0.500

Results
The value obtained for the size of the total moment is 3.99 μB per formula unit. The uncorrected energy comes out at -4.43 eV per atom. The calculation puts the density of states at the Fermi level at 0.00 states/eV per atom.